First-principles (PBE) data for a relaxed Ce2HoTm3P6 crystal, as listed in Alexandria.

Output
The calculation puts the energy at -6.77 eV/atom. The value obtained for the energy relative to the elements is -1.572 eV/atom.

```
data_Ce2HoTm3P6
_cell_length_a 6.928
_cell_length_b 12.000
_cell_length_c 6.915
_cell_angle_alpha 90.00
_cell_angle_beta 109.51
_cell_angle_gamma 90.00
_symmetry_space_group_name_H-M 'C 1 2/m 1'
_symmetry_Int_Tables_number 12
loop_
_symmetry_equiv_pos_as_xyz
'x,y,z'
'-x,-y,-z'
'-x,y,-z'
'x,-y,z'
'x+1/2,y+1/2,z'
'-x+1/2,-y+1/2,-z'
'-x+1/2,y+1/2,-z'
'x+1/2,-y+1/2,z'
loop_
_atom_site_label
_atom_site_fract_x
_atom_site_fract_y
_atom_site_fract_z
Ce1 0.000 0.167 0.000
Ho1 0.000 0.500 0.000
Tm1 0.000 0.000 0.500
Tm2 0.000 0.333 0.500
P1 0.246 0.500 0.744
P2 0.249 0.166 0.745
```